A geometry-optimized LiCr2Ag structure. Source: Alexandria, functional PBE.

Computed properties:
DFT formation energy, eV/atom: 0.3678
Final energy, eV per atom: -5.64

Structure (POSCAR):
```
LiCr2Ag
1.0
4.609 0.442 0.000
0.482 4.605 0.000
-2.546 -2.523 2.931
Ag Cr Li
1 2 1
Cartesian
2.305 0.221 1.466
0.000 0.000 0.000
0.241 2.303 1.466
2.546 2.523 0.000
```